ThSnOs | PBE-GGA | optimized geometry

Cell lengths 3.4445, 3.4445, 25.5449 Å; angles 90.00, 90.00, 90.00 degrees
With the nearest neighbours (Å) after each atom.
Space group I4/mmm (No. 139)
Symmetry-distinct sites (fractional):
Th: 0.0000 0.0000 0.1494 (multiplicity 4)  5 Os 3.01-3.24
Sn: 0.0000 0.0000 0.4432 (multiplicity 4)  1 Sn 2.90
Os: 0.0000 0.0000 0.2671 (multiplicity 4)  4 Os 2.59

## Properties
DFT formation energy, eV/f.u.: 0.1
Calculated density, g cm⁻³: 11.86